Density functional theory data (GGA-PBEsol) for a relaxed structure of TlI.

Cell lengths 4.554, 12.650, 5.071 Å; angles 90.00, 90.00, 90.00 degrees
Element x y z (fractional)
Tl 0.000 0.104 0.250
Tl 0.000 0.896 0.750
Tl 0.500 0.396 0.750
Tl 0.500 0.604 0.250
I 0.000 0.363 0.250
I 0.000 0.637 0.750
I 0.500 0.137 0.750
I 0.500 0.863 0.250

N(E_F) = 0.00 states/eV/f.u.
SG = Cmcm, No. 63
uncorrected energy = -2.78 eV per atom
ρ = 7.53 Mg/m³
polymorph energy (0 for the lowest one) = 0 meV per atom

---

Density functional theory data (GGA-PBEsol) for a relaxed structure of ScMn2InPt.

Cell lengths 4.776, 4.776, 5.180 Å; angles 90.00, 90.00, 90.00 degrees
Element x y z (fractional)
Sc 0.000 0.000 0.000
Mn 0.000 0.500 0.500
Mn 0.500 0.000 0.500
In 0.000 0.000 0.500
Pt 0.500 0.500 0.000

formation energy = 1.292 eV per atom
N(E_F) = 4.67 states/eV/f.u.
SG = P4/mmm, No. 123
uncorrected energy = -5.92 eV per atom
ρ = 6.53 Mg/m³